(i)
VASP calculation (GGA-PBE) on MgPd2O2 after structural relaxation.

Computed properties:
Symmetry = I4/mmm (139)
Magnetic moment = 0.0 μB/f.u.

a = 4.2555 Å, b = 4.2555 Å, c = 4.9583 Å
α = 64.59°, β = 64.59°, γ = 90.00°
Closest atoms and distances in Å follow each position.
Sites, in units of the cell vectors:
Mg 0.0000 0.0000 0.0000  2 Pd 2.53
O 0.7500 0.2500 0.5000  4 Pd 2.20
O 0.2500 0.7500 0.5000  4 Pd 2.20
Pd 0.3208 0.3208 0.3584  4 O 2.20
Pd 0.6792 0.6792 0.6416  4 O 2.20



(ii)
VASP calculation (GGA-PBE) on MgPd2O2 after structural relaxation.

Computed properties:
Symmetry = P4/mbm (127)
Magnetic moment = 0.0 μB/f.u.

a = 6.7336 Å, b = 6.7336 Å, c = 3.0568 Å
α = 90.00°, β = 90.00°, γ = 90.00°
Closest atoms and distances in Å follow each position.
Sites, in units of the cell vectors:
Mg 0.0000 0.0000 0.0000  4 Pd 2.63, 8 O 2.84
Mg 0.5000 0.5000 0.0000  4 Pd 2.63, 8 O 2.84
O 0.2219 0.7219 0.5000  2 Pd 2.07
O 0.7219 0.7781 0.5000  2 Pd 2.07
O 0.7781 0.2781 0.5000  2 Pd 2.07
O 0.2781 0.2219 0.5000  2 Pd 2.07
Pd 0.3680 0.8680 0.0000  2 O 2.07
Pd 0.8680 0.6320 0.0000  2 O 2.07
Pd 0.6320 0.1320 0.0000  2 O 2.07
Pd 0.1320 0.3680 0.0000  2 O 2.07



The energetic minimum among the shown structures is (i); the next structure lies 102 meV/atom above.